# Ac6Pr4Dy

An optimized crystal structure of Ac6Pr4Dy (PBE, Alexandria).

Values from the calculation:
DOS(E_F)   1.725 states/eV per atom
Crystal system   tetragonal
Formation enthalpy at 0 K   0.302 eV/atom

Structure (CIF):
```
data_Ac6Pr4Dy
_chemical_formula_sum 'Ac12 Pr8 Dy2'
_symmetry_space_group_name_H-M 'I -4 2 m'
_symmetry_Int_Tables_number 121
_symmetry_space_group_name_Hall 'I -4 2'
_cell_length_a 6.8305
_cell_length_b 6.8305
_cell_length_c 20.6980
_cell_angle_alpha 90.00
_cell_angle_beta 90.00
_cell_angle_gamma 90.00
loop_
_atom_site_label
_atom_site_fract_x
_atom_site_fract_y
_atom_site_fract_z
Ac1 0.0000 0.5000 0.0000
Ac2 0.1990 0.1990 0.1893
Pr1 0.1927 0.1927 0.3652
Dy1 0.0000 0.0000 0.5000
```

# Ac2Pr15Dy2

An optimized crystal structure of Ac2Pr15Dy2 (PBE, Alexandria).

Values from the calculation:
DOS(E_F)   1.717 states/eV per atom
Crystal system   trigonal
Formation enthalpy at 0 K   0.207 eV/atom

Structure (CIF):
```
data_Ac2Pr15Dy2
_chemical_formula_sum 'Ac6 Pr45 Dy6'
_symmetry_space_group_name_H-M 'R -3 m'
_symmetry_Int_Tables_number 166
_symmetry_space_group_name_Hall '-R 3 2"'
_cell_length_a 11.6735
_cell_length_b 11.6735
_cell_length_c 18.2277
_cell_angle_alpha 90.00
_cell_angle_beta 90.00
_cell_angle_gamma 120.00
loop_
_atom_site_label
_atom_site_fract_x
_atom_site_fract_y
_atom_site_fract_z
Ac1 0.0000 0.0000 0.1740
Pr1 0.0000 0.2922 0.5000
Pr2 0.0000 0.5000 0.0000
Pr3 0.0125 0.5062 0.6383
Dy1 0.0000 0.0000 0.4070
```

# Ac9Pr2Dy

An optimized crystal structure of Ac9Pr2Dy (PBE, Alexandria).

Values from the calculation:
DOS(E_F)   1.674 states/eV per atom
Crystal system   tetragonal
Formation enthalpy at 0 K   0.024 eV/atom

Structure (CIF):
```
data_Ac9Pr2Dy
_chemical_formula_sum 'Ac9 Pr2 Dy1'
_symmetry_space_group_name_H-M 'P 4/m m m'
_symmetry_Int_Tables_number 123
_symmetry_space_group_name_Hall '-P 4 2'
_cell_length_a 5.5226
_cell_length_b 5.5226
_cell_length_c 16.5873
_cell_angle_alpha 90.00
_cell_angle_beta 90.00
_cell_angle_gamma 90.00
loop_
_atom_site_label
_atom_site_fract_x
_atom_site_fract_y
_atom_site_fract_z
Ac1 0.0000 0.0000 0.0000
Ac2 0.0000 0.0000 0.3322
Ac3 0.0000 0.5000 0.1646
Ac4 0.0000 0.5000 0.5000
Pr1 0.5000 0.5000 0.3320
Dy1 0.5000 0.5000 0.0000
```

# Ac4PrDy2

An optimized crystal structure of Ac4PrDy2 (PBE, Alexandria).

Values from the calculation:
DOS(E_F)   1.533 states/eV per atom
Crystal system   monoclinic
Formation enthalpy at 0 K   0.090 eV/atom

Structure (CIF):
```
data_Ac4PrDy2
_chemical_formula_sum 'Ac16 Pr4 Dy8'
_symmetry_space_group_name_H-M 'C 1 c 1'
_symmetry_Int_Tables_number 9
_symmetry_space_group_name_Hall 'C -2yc'
_cell_length_a 6.8174
_cell_length_b 12.7351
_cell_length_c 13.2453
_cell_angle_alpha 90.00
_cell_angle_beta 104.66
_cell_angle_gamma 90.00
loop_
_atom_site_label
_atom_site_fract_x
_atom_site_fract_y
_atom_site_fract_z
Ac1 0.0000 0.0823 0.0000
Ac2 0.0561 0.3577 0.6476
Ac3 0.3540 0.1437 0.5697
Ac4 0.4095 0.4148 0.2196
Pr1 0.4547 0.0613 0.8585
Dy1 0.1501 0.1810 0.2910
Dy2 0.2572 0.3177 0.9267
```

# AcPr7Dy2

An optimized crystal structure of AcPr7Dy2 (PBE, Alexandria).

Values from the calculation:
DOS(E_F)   1.432 states/eV per atom
Crystal system   orthorhombic
Formation enthalpy at 0 K   0.596 eV/atom

Structure (CIF):
```
data_AcPr7Dy2
_chemical_formula_sum 'Ac2 Pr14 Dy4'
_symmetry_space_group_name_H-M 'C m m m'
_symmetry_Int_Tables_number 65
_symmetry_space_group_name_Hall '-C 2 2'
_cell_length_a 9.0936
_cell_length_b 16.2359
_cell_length_c 5.9029
_cell_angle_alpha 90.00
_cell_angle_beta 90.00
_cell_angle_gamma 90.00
loop_
_atom_site_label
_atom_site_fract_x
_atom_site_fract_y
_atom_site_fract_z
Ac1 0.0000 0.0000 0.0000
Pr1 0.0000 0.2382 0.0000
Pr2 0.0000 0.5000 0.5000
Pr3 0.1810 0.1193 0.5000
Dy1 0.0000 0.2973 0.5000
```

# Ac5PrDy2

An optimized crystal structure of Ac5PrDy2 (PBE, Alexandria).

Values from the calculation:
DOS(E_F)   1.256 states/eV per atom
Crystal system   orthorhombic
Formation enthalpy at 0 K   0.036 eV/atom

Structure (CIF):
```
data_Ac5PrDy2
_chemical_formula_sum 'Ac10 Pr2 Dy4'
_symmetry_space_group_name_H-M 'P b a m'
_symmetry_Int_Tables_number 55
_symmetry_space_group_name_Hall '-P 2 2ab'
_cell_length_a 7.6636
_cell_length_b 15.3246
_cell_length_c 5.4596
_cell_angle_alpha 90.00
_cell_angle_beta 90.00
_cell_angle_gamma 90.00
loop_
_atom_site_label
_atom_site_fract_x
_atom_site_fract_y
_atom_site_fract_z
Ac1 0.0000 0.0000 0.0000
Ac2 0.0065 0.2524 0.0000
Ac3 0.2439 0.6225 0.5000
Pr1 0.0000 0.5000 0.0000
Dy1 0.2465 0.8758 0.5000
```

# Ac12Pr3Dy

An optimized crystal structure of Ac12Pr3Dy (PBE, Alexandria).

Values from the calculation:
DOS(E_F)   1.723 states/eV per atom
Crystal system   tetragonal
Formation enthalpy at 0 K   0.023 eV/atom

Structure (CIF):
```
data_Ac12Pr3Dy
_chemical_formula_sum 'Ac12 Pr3 Dy1'
_symmetry_space_group_name_H-M 'P 4/m m m'
_symmetry_Int_Tables_number 123
_symmetry_space_group_name_Hall '-P 4 2'
_cell_length_a 5.5359
_cell_length_b 5.5359
_cell_length_c 22.0941
_cell_angle_alpha 90.00
_cell_angle_beta 90.00
_cell_angle_gamma 90.00
loop_
_atom_site_label
_atom_site_fract_x
_atom_site_fract_y
_atom_site_fract_z
Ac1 0.0000 0.0000 0.0000
Ac2 0.0000 0.0000 0.2488
Ac3 0.0000 0.0000 0.5000
Ac4 0.0000 0.5000 0.1233
Ac5 0.0000 0.5000 0.3744
Pr1 0.5000 0.5000 0.2487
Pr2 0.5000 0.5000 0.5000
Dy1 0.5000 0.5000 0.0000
```

# Ac4Pr3Dy

An optimized crystal structure of Ac4Pr3Dy (PBE, Alexandria).

Values from the calculation:
DOS(E_F)   1.699 states/eV per atom
Crystal system   orthorhombic
Formation enthalpy at 0 K   0.035 eV/atom

Structure (CIF):
```
data_Ac4Pr3Dy
_chemical_formula_sum 'Ac8 Pr6 Dy2'
_symmetry_space_group_name_H-M 'P m n 21'
_symmetry_Int_Tables_number 31
_symmetry_space_group_name_Hall 'P 2ac -2'
_cell_length_a 10.9516
_cell_length_b 7.6160
_cell_length_c 7.6154
_cell_angle_alpha 90.00
_cell_angle_beta 90.00
_cell_angle_gamma 90.00
loop_
_atom_site_label
_atom_site_fract_x
_atom_site_fract_y
_atom_site_fract_z
Ac1 0.0000 0.0012 0.0000
Ac2 0.0000 0.4992 0.4977
Ac3 0.2484 0.7514 0.7489
Pr1 0.0000 0.4996 0.9993
Pr2 0.2499 0.2473 0.7489
Dy1 0.0000 0.0003 0.4985
```